DFT (PBE-GGA) results for a geometry-optimized ZrTcP2 structure.

abc: 3.037 3.037 6.501
angles: 90.00 90.00 94.60
Positions (direct):
P: 0.000 0.000 0.469
P: 0.000 0.000 0.031
Zr: 0.500 0.500 0.750
Tc: 0.500 0.500 0.250

## Properties
The energy relative to the elements is -0.575 eV per atom. As for the total moment: 0.0000 μB/atom. The calculation puts the density at 7.0 g/cm3. Its total DFT energy (no corrections) is -8.008 eV per atom.